[1]
# NaHf2Bi2

A relaxed NaHf2Bi2 crystal (PBE-GGA, Alexandria via LeMat-Bulk).

The structure belongs to space group P4/mbm (No. 127); the cell edges are 8.283, 8.283 and 3.788 Å and the angles 90.00°, 90.00° and 90.00°. The asymmetric unit holds Na at (0.000, 0.000, 0.000), Hf at (0.132, 0.368, 0.500) and Bi at (0.158, 0.658, 0.000).

The energy of formation is 8 meV/atom. Its electronic total energy is -5.789 eV/atom.



[2]
# Na2HfBi2

A relaxed Na2HfBi2 crystal (PBE-GGA, Alexandria via LeMat-Bulk).

The structure belongs to space group P4/mbm (No. 127); the cell edges are 8.672, 8.672 and 3.557 Å and the angles 90.00°, 90.00° and 90.00°. The asymmetric unit holds Na at (0.120, 0.380, 0.000), Hf at (0.000, 0.000, 0.500) and Bi at (0.182, 0.682, 0.500).

The energy of formation is 58 meV/atom. Its electronic total energy is -4.013 eV/atom.



[3]
# NaHfBi

A relaxed NaHfBi crystal (PBE-GGA, Alexandria via LeMat-Bulk).

The structure belongs to space group R-3m (No. 166, hexagonal axes); the cell edges are 4.7384, 4.7384 and 26.4013 Å and the angles 90.00°, 90.00° and 120.00°. The asymmetric unit holds Na at (0.0000, 0.0000, 0.1371), Hf at (0.0000, 0.0000, 0.3007) and Bi at (0.0000, 0.0000, 0.4156).

The energy of formation is 82 meV/atom. Its electronic total energy is -4.970 eV/atom.



[4]
# NaHf3Bi

A relaxed NaHf3Bi crystal (PBE-GGA, Alexandria via LeMat-Bulk).

The structure belongs to space group Pm-3m (No. 221); the cell edges are 5.459, 5.459 and 5.459 Å and the angles 90.00°, 90.00° and 90.00°. The asymmetric unit holds Na at (0.000, 0.000, 0.000), Hf at (0.000, 0.500, 0.500) and Bi at (0.500, 0.500, 0.500).

The energy of formation is 1326 meV/atom. Its electronic total energy is -5.686 eV/atom.